Material: Li2FeRe
Method: DFT, GGA-PBE
State: optimized geometry

POSCAR file:
```
Li2FeRe
1.0
6.681 0.000 0.000
0.000 6.681 0.000
3.341 3.341 2.352
Fe Li Re
2 4 2
direct
0.250 0.750 0.500
0.500 0.500 0.000
0.142 0.625 0.250
0.375 0.392 0.750
0.608 0.125 0.250
0.875 0.858 0.750
0.750 0.250 0.500
0.000 0.000 0.000
```

E above lowest polymorph	714	meV per atom
total magnetization	0.580	μB per atom
energy relative to the elements	0.925	eV/atom
electronic total energy	-0.193	hartree per atom
calculated volume	13.13	Å³ per atom
ρ	8.09	g/cm3

---

Material: Li2FeRe
Method: DFT, GGA-PBE
State: optimized geometry

POSCAR file:
```
Li2FeRe
1.0
-0.329 -4.047 0.054
3.145 -0.213 2.559
-3.212 2.306 0.924
Li Re Fe
2 1 1
direct
0.750 0.250 0.500
0.000 0.000 0.000
0.500 0.500 0.000
0.250 0.750 0.500
```

E above lowest polymorph	110	meV per atom
total magnetization	0.129	μB per atom
energy relative to the elements	0.321	eV/atom
electronic total energy	-0.215	hartree per atom
calculated volume	11.85	Å³ per atom
ρ	8.97	g/cm3

---

Material: Li2FeRe
Method: DFT, GGA-PBE
State: optimized geometry

POSCAR file:
```
Li2FeRe
1.0
5.017 0.010 0.106
4.333 2.530 0.106
1.060 0.288 4.165
Li Fe Re
2 1 1
direct
0.009 0.009 0.994
0.491 0.491 0.506
0.750 0.750 0.750
0.250 0.250 0.250
```

E above lowest polymorph	64	meV per atom
total magnetization	0.288	μB per atom
energy relative to the elements	0.276	eV/atom
electronic total energy	-0.217	hartree per atom
calculated volume	13.09	Å³ per atom
ρ	8.11	g/cm3

---

Material: LiFeRe2
Method: DFT, GGA-PBE
State: optimized geometry

POSCAR file:
```
LiFeRe2
1.0
-0.969 -1.339 2.671
-2.640 -0.932 -1.425
2.331 -4.470 -1.395
Li Re Fe
1 2 1
direct
0.500 0.500 0.750
0.000 0.000 0.995
0.000 0.000 0.505
0.500 0.500 0.250
```

E above lowest polymorph	197	meV per atom
total magnetization	0.498	μB per atom
energy relative to the elements	0.405	eV/atom
electronic total energy	-0.309	hartree per atom
calculated volume	12.90	Å³ per atom
ρ	14.00	g/cm3

---

Material: LiFeRe2
Method: DFT, GGA-PBE
State: optimized geometry

POSCAR file:
```
LiFeRe2
1.0
-2.220 0.717 -1.150
1.117 -0.281 -2.332
-2.381 -7.710 -0.212
Re Fe Li
2 1 1
direct
0.000 0.000 0.477
0.000 0.000 0.023
0.500 0.500 0.250
0.500 0.500 0.750
```

E above lowest polymorph	116	meV per atom
total magnetization	0.000	μB per atom
energy relative to the elements	0.323	eV/atom
electronic total energy	-0.312	hartree per atom
calculated volume	13.65	Å³ per atom
ρ	13.24	g/cm3

---

Material: LiFeRe2
Method: DFT, GGA-PBE
State: optimized geometry

POSCAR file:
```
LiFeRe2
1.0
-1.399 1.464 -4.298
-2.652 -3.213 -2.285
0.110 2.503 4.037
Re Li Fe
2 1 1
direct
0.998 0.998 0.000
0.744 0.244 0.500
0.259 0.759 0.500
0.499 0.499 0.000
```

E above lowest polymorph	70	meV per atom
total magnetization	0.513	μB per atom
energy relative to the elements	0.277	eV/atom
electronic total energy	-0.314	hartree per atom
calculated volume	13.11	Å³ per atom
ρ	13.78	g/cm3

---

Material: LiFeRe3
Method: DFT, GGA-PBE
State: optimized geometry

POSCAR file:
```
LiFeRe3
1.0
4.066 0.000 0.000
0.000 4.066 0.000
0.000 0.000 4.066
Re Li Fe
3 1 1
direct
0.000 0.500 0.000
0.500 0.000 0.000
0.000 0.000 0.500
0.000 0.000 0.000
0.500 0.500 0.500
```

E above lowest polymorph	0	meV per atom
total magnetization	0.000	μB per atom
energy relative to the elements	1.456	eV/atom
electronic total energy	-0.297	hartree per atom
calculated volume	13.44	Å³ per atom
ρ	15.36	g/cm3

---

Material: Li2FeRe
Method: DFT, GGA-PBE
State: optimized geometry

POSCAR file:
```
Li2FeRe
1.0
2.869 0.000 0.000
0.000 2.869 0.000
0.000 0.000 6.919
Li Fe Re
2 1 1
direct
0.000 0.000 0.974
0.500 0.500 0.260
0.500 0.500 0.727
0.000 0.000 0.540
```

E above lowest polymorph	48	meV per atom
total magnetization	0.183	μB per atom
energy relative to the elements	0.259	eV/atom
electronic total energy	-0.218	hartree per atom
calculated volume	14.23	Å³ per atom
ρ	7.46	g/cm3

---

Material: Li2FeRe
Method: DFT, GGA-PBE
State: optimized geometry

POSCAR file:
```
Li2FeRe
1.0
9.494 -0.001 -0.001
9.128 2.610 -0.001
9.128 1.279 2.276
Li Re Fe
2 1 1
direct
0.499 0.499 0.499
0.001 0.001 0.001
0.250 0.250 0.250
0.750 0.750 0.750
```

E above lowest polymorph	130	meV per atom
total magnetization	0.812	μB per atom
energy relative to the elements	0.342	eV/atom
electronic total energy	-0.215	hartree per atom
calculated volume	14.11	Å³ per atom
ρ	7.53	g/cm3

---

Material: LiFeRe3
Method: DFT, GGA-PBE
State: optimized geometry

POSCAR file:
```
LiFeRe3
1.0
-1.403 -4.193 -0.338
1.251 -0.076 -4.254
4.017 -1.441 1.207
Re Fe Li
3 1 1
direct
0.000 0.500 0.000
0.500 0.000 0.000
0.000 0.000 0.500
0.000 0.000 0.000
0.500 0.500 0.500
```

E above lowest polymorph	90	meV per atom
total magnetization	0.014	μB per atom
energy relative to the elements	1.546	eV/atom
electronic total energy	-0.294	hartree per atom
calculated volume	17.45	Å³ per atom
ρ	11.83	g/cm3

---

Material: LiFeRe2
Method: DFT, GGA-PBE
State: optimized geometry

POSCAR file:
```
LiFeRe2
1.0
-1.411 1.409 -4.120
-3.457 0.353 -2.979
-1.398 4.364 1.531
Li Fe Re
1 1 2
direct
0.247 0.247 0.262
0.492 0.492 0.482
0.759 0.759 0.755
0.002 0.002 0.001
```

E above lowest polymorph	81	meV per atom
total magnetization	0.478	μB per atom
energy relative to the elements	0.288	eV/atom
electronic total energy	-0.313	hartree per atom
calculated volume	13.59	Å³ per atom
ρ	13.30	g/cm3

---

Material: LiFeRe2
Method: DFT, GGA-PBE
State: optimized geometry

POSCAR file:
```
LiFeRe2
1.0
9.167 -0.004 -0.003
8.761 2.699 -0.003
8.761 1.317 2.356
Fe Li Re
1 1 2
direct
0.502 0.502 0.502
0.752 0.752 0.752
0.996 0.996 0.996
0.250 0.250 0.250
```

E above lowest polymorph	27	meV per atom
total magnetization	0.655	μB per atom
energy relative to the elements	0.234	eV/atom
electronic total energy	-0.315	hartree per atom
calculated volume	14.61	Å³ per atom
ρ	12.37	g/cm3